Sr2LiGeH, relaxed, DFT PBE-GGA; E = -0.2289 Ry/atom; theoretical density = 3.53 g/cm³
1.0
-2.377 3.582 1.676
1.837 -1.698 6.234
5.628 5.120 -2.962
Ge Sr H Li
2 4 2 2
Direct
0.750 0.354 0.698
0.250 0.646 0.302
0.250 0.181 0.409
0.750 0.819 0.591
0.750 0.752 0.057
0.250 0.248 0.943
0.250 0.856 0.846
0.750 0.144 0.154
0.750 0.426 0.280
0.250 0.574 0.720